1.
## Sm6TeSe5 (GGA-PBE)

Data for a geometry-optimized Sm6TeSe5 structure.

Calculated values
space group: C2/m (12)
raw formation energy: -1.74 eV per atom
N(E_F): 0.4525 states/eV/atom
total magnetic moment: 0.000 μB/atom
volume: 319.4 Å³/cell

a b c (Å): 7.3193 7.3087 7.3151
angles (deg): 60.03 80.37 70.43
Closest atoms and distances in Å follow each position.
Atoms (fractional coordinates):
1 Sm 0.2678 0.9121 0.6522  5 Se 2.90-3.03, 1 Te 3.14
2 Se 0.0000 0.3321 0.3358  6 Sm 3.00-3.03
3 Se 0.0000 0.6679 0.6642  6 Sm 3.00-3.03
4 Sm 0.7322 0.4357 0.6522  5 Se 2.90-3.03, 1 Te 3.14
5 Se 0.5000 0.1593 0.6813  6 Sm 2.90-2.96
6 Sm 0.2605 0.2608 0.0000  5 Se 2.86-3.00, 1 Te 3.11
7 Se 0.5000 0.5000 0.0000  6 Sm 2.86-2.97
8 Te 0.0000 0.0000 0.0000  6 Sm 3.11-3.14
9 Sm 0.2678 0.5643 0.3478  5 Se 2.90-3.03, 1 Te 3.14
10 Se 0.5000 0.8407 0.3187  6 Sm 2.90-2.96
11 Sm 0.7395 0.7392 0.0000  5 Se 2.86-3.00, 1 Te 3.11
12 Sm 0.7322 0.0879 0.3478  5 Se 2.90-3.03, 1 Te 3.14

***

2.
## PmDyPu2Bi4 (GGA-PBE)

Data for a geometry-optimized PmDyPu2Bi4 structure.

Calculated values
space group: P2/m (10)
N(E_F): 3.9400 states/eV/atom
calculated formation energy: -4.87 eV per formula unit
total magnetic moment: 1.280 μB/atom
volume: 263.7 Å³/cell

a b c (Å): 4.5317 7.8574 7.8536
angles (deg): 70.55 90.00 90.00
Closest atoms and distances in Å follow each position.
Atoms (fractional coordinates):
1 Bi 0.5000 0.7523 0.2459  3 Pu 3.19-3.22, 1 Dy 3.20, 2 Pm 3.23
2 Bi 0.5000 0.2477 0.7541  3 Pu 3.19-3.22, 1 Dy 3.20, 2 Pm 3.23
3 Bi 0.0000 0.2501 0.2466  3 Pu 3.19-3.22, 2 Dy 3.19, 1 Pm 3.23
4 Bi 0.0000 0.7499 0.7534  3 Pu 3.19-3.22, 2 Dy 3.19, 1 Pm 3.23
5 Pu 0.0000 0.0000 0.0000  6 Bi 3.19
6 Pu 0.5000 0.0000 0.5000  6 Bi 3.22
7 Dy 0.5000 0.5000 0.0000  6 Bi 3.19-3.20
8 Pm 0.0000 0.5000 0.5000  6 Bi 3.23